This record from the Alexandria database describes a PBEsol-optimized structure of CaPdN2. The functional is meta-GGA SCAN.

Cell and atoms, written as POSCAR:
```
CaPdN2
1.0
-2.3314 0.4760 3.1944
-0.2235 -2.8743 2.7486
1.6313 0.5483 3.5923
Pd N Ca
1 2 1
Direct
0.5000 0.5000 0.5000 Pd
0.2500 0.2500 0.2500 N
0.7500 0.7500 0.7500 N
0.0000 0.0000 0.0000 Ca
```

Properties
E_form (uncorrected)   524 meV per atom